Material: TlVPt2
Method: DFT, PBE
State: relaxed

As for the crystal system: tetragonal. The value obtained for the density of states at the Fermi level is 4.83 states/eV/f.u. The uncorrected energy comes out at -0.212 hartree per atom.

a = 7.320 Å, b = 7.320 Å, c = 5.605 Å
α = 90.00°, β = 90.00°, γ = 90.00°
Space group I-42d (No. 122)
Symmetry-distinct sites (fractional):
Tl 0.000 0.000 0.000
V 0.000 0.000 0.500
Pt 0.212 0.250 0.625